Compound: Pd4Pt3
Source: the Alexandria database
Functional: PBE
Structure: relaxed

Geometry as POSCAR:
```
Pd4Pt3
1.0
-1.310 0.850 2.236
5.346 -1.791 3.814
0.004 6.017 -3.948
Pd Pt
4 3
Cartesian
2.299 0.182 1.278
1.741 4.894 0.824
0.216 4.438 -1.560
3.824 0.637 3.662
0.000 0.000 0.000
1.287 2.321 -0.128
2.753 2.755 2.230
```

DFT total energy: -5.521 eV/atom
energy of formation: 0.04 eV/atom
ρ: 15.2 g/cm3
energy relative to the lowest polymorph listed for this composition: 0.00 eV per formula unit